# 1
Entry from the Alexandria database: an optimized crystal structure of MnSiHNO (PBE with a Hubbard U).

Results
The calculation puts the size of the total moment at 2.0 μB per cell. The relative energy among the computed polymorphs comes out at 3.35 eV/f.u.

abc: 2.8035 2.8207 12.6559
angles: 90.00 90.00 90.00
Last column: nearest neighbours and their distance in Å.
Space group Amm2 (No. 38)
Asymmetric unit:
Mn 0.0000 0.0000 0.0000 [2 per cell]  4 N 2.04
Si 0.0000 0.0000 0.3503 [2 per cell]  2 O 1.70
H 0.5000 0.0000 0.6196 [2 per cell]  1 N 1.04
N 0.5000 0.0000 0.5373 [2 per cell]  1 H 1.04
O 0.5000 0.0000 0.2739 [2 per cell]  2 Si 1.70

=====

# 2
Entry from the Alexandria database: an optimized crystal structure of MnSiHNO (PBE with a Hubbard U).

Results
The calculation puts the size of the total moment at 9.4 μB per cell. The relative energy among the computed polymorphs comes out at 2.39 eV/f.u.

abc: 6.2977 2.9111 7.5180
angles: 90.00 95.84 90.00
Last column: nearest neighbours and their distance in Å.
Space group Cm (No. 8)
Asymmetric unit:
Mn 0.0000 0.0000 0.0000 [2 per cell]  2 H 1.87
Si 0.1751 0.5000 0.6443 [2 per cell]  1 N 1.62, 2 O 1.70
H 0.4350 0.0000 0.1416 [2 per cell]  2 Mn 1.87
N 0.1624 0.5000 0.8584 [2 per cell]  1 Si 1.62
O 0.1878 0.0000 0.5303 [2 per cell]  2 Si 1.70

=====

# 3
Entry from the Alexandria database: an optimized crystal structure of MnSiHNO (PBE with a Hubbard U).

Results
The calculation puts the size of the total moment at 0.2 μB per cell. The relative energy among the computed polymorphs comes out at 4.87 eV/f.u.

abc: 3.0100 3.0110 6.5954
angles: 83.56 83.40 62.03
Last column: nearest neighbours and their distance in Å.
Space group P1 (No. 1)
Asymmetric unit:
Mn 0.0000 0.0000 0.0000 [1 per cell]  3 N 1.87-1.89
Si 0.2960 0.2987 0.2343 [1 per cell]  1 O 1.64
H 0.3439 0.3453 0.5805 [1 per cell]  1 O 0.99
N 0.3609 0.3600 0.8992 [1 per cell]  3 Mn 1.87-1.89
O 0.2123 0.2186 0.4829 [1 per cell]  1 H 0.99

=====

# 4
Entry from the Alexandria database: an optimized crystal structure of MnSiHNO (PBE with a Hubbard U).

Results
The calculation puts the size of the total moment at 3.1 μB per cell. The relative energy among the computed polymorphs comes out at 3.06 eV/f.u.

abc: 4.7229 2.7367 7.5201
angles: 90.00 101.54 90.00
Last column: nearest neighbours and their distance in Å.
Space group Cm (No. 8)
Asymmetric unit:
Mn 0.0000 0.0000 0.0000 [2 per cell]  3 N 1.90-1.91
Si 0.2561 0.5000 0.2712 [2 per cell]  3 O 1.86
H 0.0754 0.5000 0.7153 [2 per cell]  1 N 1.03
N 0.1202 0.5000 0.8545 [2 per cell]  1 H 1.03
O 0.4656 0.0000 0.4053 [2 per cell]  3 Si 1.86

=====

# 5
Entry from the Alexandria database: an optimized crystal structure of Mn2ZnH12N4O8 (PBE with a Hubbard U).

Results
The calculation puts the size of the total moment at 0.8 μB per cell.

abc: 10.5772 10.5772 10.5772
angles: 90.00 90.00 90.00
Last column: nearest neighbours and their distance in Å.
Space group F-43m (No. 216)
Asymmetric unit:
Mn 0.0000 0.0000 0.0000 [4 per cell]  4 O 1.62
Mn 0.2500 0.2500 0.2500 [4 per cell]  4 O 1.62
Zn 0.2500 0.2500 0.7500 [4 per cell]  4 N 2.05
H 0.0439 0.1546 0.6546 [48 per cell]  1 N 1.03
N 0.1380 0.1380 0.6380 [16 per cell]  3 H 1.03
O 0.0883 0.0883 0.9117 [16 per cell]  1 Mn 1.62
O 0.1615 0.1615 0.3385 [16 per cell]  1 Mn 1.62

=====

| no. | VASP energy (eV/atom) |
| --- | --- |
| 1 | -6.21 |
| 2 | -6.41 |
| 3 | -5.91 |
| 4 | -6.27 |
| 5 | -5.35 |